No. 1
# CaYI5 (PBE, relaxed)
data_CaYI5
_space_group_name_H-M_alt 'P 1'
_space_group_IT_number 1
_cell_length_a 4.383
_cell_length_b 9.424
_cell_length_c 15.001
_cell_angle_alpha 95.27
_cell_angle_beta 90.00
_cell_angle_gamma 90.00
loop_
_space_group_symop_operation_xyz
'x,y,z'
loop_
_atom_site_label
_atom_site_type_symbol
_atom_site_fract_x
_atom_site_fract_y
_atom_site_fract_z
_atom_site_occupancy
I1 I 0.750 0.140 0.927 1
I2 I 0.750 0.653 0.863 1
I3 I 0.250 0.860 0.073 1
I4 I 0.750 0.325 0.482 1
I5 I 0.250 0.347 0.137 1
I6 I 0.750 0.919 0.688 1
I7 I 0.250 0.675 0.518 1
I8 I 0.250 0.387 0.703 1
I9 I 0.250 0.081 0.312 1
I10 I 0.750 0.613 0.297 1
Y1 Y 0.750 0.591 0.654 1
Y2 Y 0.250 0.409 0.346 1
Ca1 Ca 0.250 0.910 0.864 1
Ca2 Ca 0.750 0.090 0.136 1
# E_form (uncorrected) (eV/atom): -1.4301
# Volume (Å³ per cell): 617.0
# Fermi-level density of states (states/eV per cell): 0.00

No. 2
# Dy6Er3Tm2 (PBE, relaxed)
data_Dy6Er3Tm2
_space_group_name_H-M_alt 'P 1'
_space_group_IT_number 1
_cell_length_a 4.676
_cell_length_b 4.676
_cell_length_c 16.752
_cell_angle_alpha 98.02
_cell_angle_beta 98.02
_cell_angle_gamma 90.00
loop_
_space_group_symop_operation_xyz
'x,y,z'
loop_
_atom_site_label
_atom_site_type_symbol
_atom_site_fract_x
_atom_site_fract_y
_atom_site_fract_z
_atom_site_occupancy
Dy1 Dy 0.121 0.621 0.242 1
Dy2 Dy 0.621 0.121 0.242 1
Dy3 Dy 0.697 0.697 0.394 1
Dy4 Dy 0.879 0.379 0.758 1
Dy5 Dy 0.303 0.303 0.606 1
Dy6 Dy 0.379 0.879 0.758 1
Tm1 Tm 0.454 0.454 0.908 1
Tm2 Tm 0.546 0.546 0.092 1
Er1 Er 0.801 0.801 0.601 1
Er2 Er 0.000 0.000 0.000 1
Er3 Er 0.199 0.199 0.399 1
# E_form (meV/atom): 298
# E above lowest polymorph (eV/atom): 0.276
# Volume (Å³ per cell): 359.1
# Fermi-level density of states (states/eV per cell): 16.65

No. 3
# MnTeAu2 (PBE, relaxed)
data_MnTeAu2
_space_group_name_H-M_alt 'P 1'
_space_group_IT_number 1
_cell_length_a 5.790
_cell_length_b 5.790
_cell_length_c 3.936
_cell_angle_alpha 95.12
_cell_angle_beta 95.12
_cell_angle_gamma 40.39
loop_
_space_group_symop_operation_xyz
'x,y,z'
loop_
_atom_site_label
_atom_site_type_symbol
_atom_site_fract_x
_atom_site_fract_y
_atom_site_fract_z
_atom_site_occupancy
Au1 Au 0.494 0.494 0.494 1
Au2 Au 0.006 0.006 0.006 1
Te1 Te 0.750 0.750 0.750 1
Mn1 Mn 0.250 0.250 0.250 1
# E_form (uncorrected) (eV/atom): 0.1034
# Volume (Å³ per cell): 85.1
# Fermi-level density of states (states/eV per cell): 1.61

No. 4
# Sr2ReTe (PBE, relaxed)
data_Sr2ReTe
_space_group_name_H-M_alt 'P 1'
_space_group_IT_number 1
_cell_length_a 6.410
_cell_length_b 6.410
_cell_length_c 5.544
_cell_angle_alpha 71.87
_cell_angle_beta 71.87
_cell_angle_gamma 32.46
loop_
_space_group_symop_operation_xyz
'x,y,z'
loop_
_atom_site_label
_atom_site_type_symbol
_atom_site_fract_x
_atom_site_fract_y
_atom_site_fract_z
_atom_site_occupancy
Sr1 Sr 0.968 0.968 0.057 1
Sr2 Sr 0.772 0.772 0.706 1
Te1 Te 0.550 0.550 0.492 1
Re1 Re 0.211 0.211 0.245 1
# E_form (uncorrected) (eV/atom): 0.1795
# E above lowest polymorph (eV/atom): 0.058
# Volume (Å³ per cell): 115.7
# Fermi-level density of states (states/eV per cell): 3.27

No. 5
# Ho4CoSb2 (PBE, relaxed)
data_Ho4CoSb2
_space_group_name_H-M_alt 'P 1'
_space_group_IT_number 1
_cell_length_a 4.303
_cell_length_b 8.540
_cell_length_c 7.824
_cell_angle_alpha 136.45
_cell_angle_beta 105.96
_cell_angle_gamma 90.00
loop_
_space_group_symop_operation_xyz
'x,y,z'
loop_
_atom_site_label
_atom_site_type_symbol
_atom_site_fract_x
_atom_site_fract_y
_atom_site_fract_z
_atom_site_occupancy
Ho1 Ho 0.659 0.267 0.319 1
Ho2 Ho 0.341 0.733 0.681 1
Ho3 Ho 0.065 0.786 0.130 1
Ho4 Ho 0.935 0.214 0.870 1
Co1 Co 0.000 0.000 0.000 1
Sb1 Sb 0.341 0.346 0.683 1
Sb2 Sb 0.659 0.654 0.317 1
# E_form (uncorrected) (eV/atom): -0.6446
# Volume (Å³ per cell): 181.6
# Fermi-level density of states (states/eV per cell): 4.28

No. 6
# Ce2SmPd (PBE, relaxed)
data_Ce2SmPd
_space_group_name_H-M_alt 'P 1'
_space_group_IT_number 1
_cell_length_a 3.697
_cell_length_b 3.697
_cell_length_c 7.993
_cell_angle_alpha 90.00
_cell_angle_beta 90.00
_cell_angle_gamma 90.00
loop_
_space_group_symop_operation_xyz
'x,y,z'
loop_
_atom_site_label
_atom_site_type_symbol
_atom_site_fract_x
_atom_site_fract_y
_atom_site_fract_z
_atom_site_occupancy
Ce1 Ce 0.000 0.000 0.198 1
Ce2 Ce 0.000 0.000 0.802 1
Sm1 Sm 0.500 0.500 0.500 1
Pd1 Pd 0.500 0.500 0.000 1
# E_form (meV/atom): -236
# E above lowest polymorph (eV/atom): 0.000
# Volume (Å³ per cell): 109.2
# Fermi-level density of states (states/eV per cell): 10.34

Among the records above, which one has the lowest volume?
MnTeAu2

Look up the volume of the fourth one.
115.7 Å³ per cell

Among the records above, which one has the highest volume?
CaYI5

Which value of volume does entry 1 give?
617.0 Å³ per cell